Model one:
A relaxed structure of As2IrOs. Source: Alexandria via LeMat-Bulk, functional PBE.

a = 2.874 Å, b = 5.047 Å, c = 4.359 Å
α = 90.00°, β = 90.00°, γ = 90.00°
Fractional positions:
Ir (0.500, 0.000, 0.500)
Os (0.000, 0.500, 0.500)
As (0.000, 0.000, 0.000)
As (0.500, 0.500, 0.000)

The calculation puts the volume at 15.809 A^3/atom. The total magnetic moment comes out at 0.00 μB/cell.

***

Model two:
A relaxed structure of As2IrOs. Source: Alexandria via LeMat-Bulk, functional PBE.

a = 4.309 Å, b = 2.994 Å, c = 4.956 Å
α = 90.94°, β = 90.00°, γ = 90.00°
Fractional positions:
Os (0.500, 0.750, 0.750)
As (0.000, 0.593, 0.486)
As (0.000, 0.907, 0.014)
Ir (0.500, 0.250, 0.250)

The calculation puts the volume at 15.979 A^3/atom. The total magnetic moment comes out at 0.00 μB/cell.

***

Pick model two: it beats the second-best structure by 13 meV per atom.

***

Model one:
A relaxed structure of As2IrOs. Source: Alexandria via LeMat-Bulk, functional PBE.

a = 5.155 Å, b = 5.155 Å, c = 5.155 Å
α = 137.50°, β = 137.50°, γ = 61.66°
Fractional positions:
Os (0.750, 0.250, 0.500)
As (0.000, 0.000, 0.000)
As (0.250, 0.750, 0.500)
Ir (0.500, 0.500, 0.000)

The calculation puts the volume at 15.447 A^3/atom. The total magnetic moment comes out at 0.00 μB/cell.

***

Model two:
A relaxed structure of As2IrOs. Source: Alexandria via LeMat-Bulk, functional PBE.

a = 3.159 Å, b = 3.154 Å, c = 6.101 Å
α = 90.00°, β = 90.00°, γ = 90.00°
Fractional positions:
As (0.000, 0.000, 0.501)
As (0.000, 0.000, 0.999)
Ir (0.500, 0.500, 0.250)
Os (0.500, 0.500, 0.750)

The calculation puts the volume at 15.198 A^3/atom. The total magnetic moment comes out at 0.00 μB/cell.

***

Pick model two: it beats the second-best structure by 151 meV per atom.

***

Model one:
A relaxed structure of As2IrOs. Source: Alexandria via LeMat-Bulk, functional PBE.

a = 2.897 Å, b = 2.897 Å, c = 8.746 Å
α = 90.00°, β = 90.00°, γ = 120.26°
Fractional positions:
Ir (0.500, 0.500, 0.250)
Os (0.500, 0.500, 0.750)
As (0.000, 0.000, 0.505)
As (0.000, 0.000, 0.995)

The calculation puts the volume at 15.846 A^3/atom. The total magnetic moment comes out at 0.00 μB/cell.

***

Model two:
A relaxed structure of As2IrOs. Source: Alexandria via LeMat-Bulk, functional PBE.

a = 4.345 Å, b = 4.345 Å, c = 4.969 Å
α = 76.89°, β = 76.89°, γ = 48.14°
Fractional positions:
As (0.775, 0.775, 0.578)
As (0.994, 0.994, 0.032)
Ir (0.470, 0.470, 0.658)
Os (0.261, 0.261, 0.233)

The calculation puts the volume at 16.920 A^3/atom. The total magnetic moment comes out at 0.00 μB/cell.

***

Pick model two: it beats the second-best structure by 367 meV per atom.

***

Model one:
A relaxed structure of As2IrOs. Source: Alexandria via LeMat-Bulk, functional PBE.

a = 5.195 Å, b = 4.999 Å, c = 2.945 Å
α = 90.29°, β = 73.39°, γ = 118.85°
Fractional positions:
Ir (0.500, 0.500, 0.000)
Os (0.500, 0.000, 0.500)
As (0.000, 0.500, 0.500)
As (0.000, 0.000, 0.000)

The calculation puts the volume at 15.843 A^3/atom. The total magnetic moment comes out at 0.00 μB/cell.

***

Model two:
A relaxed structure of As2IrOs. Source: Alexandria via LeMat-Bulk, functional PBE.

a = 3.046 Å, b = 3.908 Å, c = 5.219 Å
α = 90.00°, β = 90.00°, γ = 90.00°
Fractional positions:
Ir (0.000, 0.000, 0.452)
Os (0.500, 0.500, 0.796)
As (0.500, 0.500, 0.308)
As (0.000, 0.000, 0.945)

The calculation puts the volume at 15.534 A^3/atom. The total magnetic moment comes out at 0.00 μB/cell.

***

Model three:
A relaxed structure of As2IrOs. Source: Alexandria via LeMat-Bulk, functional PBE.

a = 5.483 Å, b = 5.483 Å, c = 5.483 Å
α = 147.96°, β = 133.04°, γ = 57.98°
Fractional positions:
Os (0.228, 0.728, 0.500)
As (0.015, 0.015, 0.000)
As (0.741, 0.241, 0.500)
Ir (0.517, 0.517, 0.000)

The calculation puts the volume at 15.858 A^3/atom. The total magnetic moment comes out at 0.00 μB/cell.

***

Model four:
A relaxed structure of As2IrOs. Source: Alexandria via LeMat-Bulk, functional PBE.

a = 2.919 Å, b = 2.919 Å, c = 8.281 Å
α = 90.00°, β = 90.00°, γ = 90.00°
Fractional positions:
Ir (0.000, 0.000, 0.506)
As (0.500, 0.500, 0.317)
As (0.000, 0.000, 0.930)
Os (0.500, 0.500, 0.747)

The calculation puts the volume at 17.642 A^3/atom. The total magnetic moment comes out at 0.00 μB/cell.

***

Pick model four: it beats the second-best structure by 75 meV per atom.

***

Model one:
A relaxed structure of AsIrOs. Source: Alexandria via LeMat-Bulk, functional PBE.

a = 2.884 Å, b = 2.884 Å, c = 6.207 Å
α = 90.00°, β = 90.00°, γ = 120.00°
Fractional positions:
Ir (0.333, 0.667, 0.328)
As (0.000, 0.000, 0.993)
Os (0.667, 0.333, 0.678)

The calculation puts the volume at 14.905 A^3/atom. The total magnetic moment comes out at 0.00 μB/cell.

***

Model two:
A relaxed structure of AsIrOs. Source: Alexandria via LeMat-Bulk, functional PBE.

a = 7.463 Å, b = 7.185 Å, c = 2.792 Å
α = 84.68°, β = 73.45°, γ = 21.86°
Fractional positions:
Ir (0.671, 0.671, 0.329)
As (0.998, 0.998, 0.002)
Os (0.331, 0.331, 0.669)

The calculation puts the volume at 15.621 A^3/atom. The total magnetic moment comes out at 0.00 μB/cell.

***

Model three:
A relaxed structure of AsIrOs. Source: Alexandria via LeMat-Bulk, functional PBE.

a = 4.616 Å, b = 4.616 Å, c = 4.616 Å
α = 143.65°, β = 127.23°, γ = 65.77°
Fractional positions:
Os (0.680, 0.680, 0.000)
Ir (0.320, 0.320, 0.000)
As (0.000, 0.000, 0.000)

The calculation puts the volume at 15.264 A^3/atom. The total magnetic moment comes out at 0.00 μB/cell.

***

Model four:
A relaxed structure of AsIrOs. Source: Alexandria via LeMat-Bulk, functional PBE.

a = 5.773 Å, b = 5.773 Å, c = 5.773 Å
α = 150.98°, β = 150.98°, γ = 41.50°
Fractional positions:
As (0.007, 0.007, 0.000)
Ir (0.329, 0.329, 0.000)
Os (0.664, 0.664, 0.000)

The calculation puts the volume at 15.055 A^3/atom. The total magnetic moment comes out at 0.00 μB/cell.

***

Pick model one: it beats the second-best structure by 98 meV per atom.

***

Model one:
A relaxed structure of AsPIr. Source: Alexandria via LeMat-Bulk, functional PBE.

a = 6.184 Å, b = 6.184 Å, c = 6.184 Å
α = 152.73°, β = 152.73°, γ = 38.95°
Fractional positions:
Ir (0.317, 0.317, 0.000)
As (0.983, 0.983, 0.000)
P (0.700, 0.700, 0.000)

The calculation puts the volume at 16.516 A^3/atom. The total magnetic moment comes out at 0.00 μB/cell.

***

Model two:
A relaxed structure of AsPIr. Source: Alexandria via LeMat-Bulk, functional PBE.

a = 4.583 Å, b = 4.583 Å, c = 4.583 Å
α = 142.16°, β = 125.64°, γ = 68.13°
Fractional positions:
P (0.662, 0.662, 0.000)
As (0.989, 0.989, 0.000)
Ir (0.349, 0.349, 0.000)

The calculation puts the volume at 15.745 A^3/atom. The total magnetic moment comes out at 0.00 μB/cell.

***

Pick model one: it beats the second-best structure by 317 meV per atom.

***

Model one:
A relaxed structure of AsPIr. Source: Alexandria via LeMat-Bulk, functional PBE.

a = 4.143 Å, b = 4.143 Å, c = 4.143 Å
α = 60.00°, β = 60.00°, γ = 60.00°
Fractional positions:
Ir (0.500, 0.500, 0.500)
P (0.250, 0.250, 0.250)
As (0.000, 0.000, 0.000)

The calculation puts the volume at 16.757 A^3/atom. The total magnetic moment comes out at 0.00 μB/cell.

***

Model two:
A relaxed structure of AsPIr. Source: Alexandria via LeMat-Bulk, functional PBE.

a = 4.158 Å, b = 4.158 Å, c = 4.158 Å
α = 60.00°, β = 60.00°, γ = 60.00°
Fractional positions:
P (0.000, 0.000, 0.000)
Ir (0.250, 0.250, 0.250)
As (0.500, 0.500, 0.500)

The calculation puts the volume at 16.940 A^3/atom. The total magnetic moment comes out at 0.00 μB/cell.

***

Model three:
A relaxed structure of AsPIr. Source: Alexandria via LeMat-Bulk, functional PBE.

a = 5.988 Å, b = 6.055 Å, c = 5.985 Å
α = 111.64°, β = 90.00°, γ = 90.00°
Fractional positions:
Ir (0.509, 0.205, 0.718)
Ir (0.491, 0.795, 0.282)
Ir (0.991, 0.705, 0.718)
Ir (0.009, 0.295, 0.282)
P (0.871, 0.318, 0.658)
P (0.371, 0.182, 0.342)
P (0.129, 0.682, 0.342)
P (0.629, 0.818, 0.658)
As (0.122, 0.133, 0.843)
As (0.378, 0.633, 0.843)
As (0.622, 0.367, 0.157)
As (0.878, 0.867, 0.157)

The calculation puts the volume at 16.808 A^3/atom. The total magnetic moment comes out at 0.00 μB/cell.

***

Pick model three: it beats the second-best structure by 408 meV per atom.

***

Model one:
A relaxed structure of AsPIr. Source: Alexandria via LeMat-Bulk, functional PBE.

a = 8.088 Å, b = 7.831 Å, c = 2.822 Å
α = 84.98°, β = 74.68°, γ = 20.34°
Fractional positions:
As (0.977, 0.977, 0.023)
Ir (0.325, 0.325, 0.675)
P (0.698, 0.698, 0.302)

The calculation puts the volume at 17.537 A^3/atom. The total magnetic moment comes out at 0.00 μB/cell.

***

Model two:
A relaxed structure of AsPIr. Source: Alexandria via LeMat-Bulk, functional PBE.

a = 3.433 Å, b = 3.433 Å, c = 5.009 Å
α = 90.00°, β = 90.00°, γ = 120.00°
Fractional positions:
As (0.000, 0.000, 0.026)
P (0.333, 0.667, 0.612)
Ir (0.667, 0.333, 0.362)

The calculation puts the volume at 17.039 A^3/atom. The total magnetic moment comes out at 0.00 μB/cell.

***

Pick model two: it beats the second-best structure by 329 meV per atom.

***

Model one:
A relaxed structure of AsIrPb2. Source: Alexandria via LeMat-Bulk, functional PBE.

a = 4.836 Å, b = 4.628 Å, c = 4.028 Å
α = 90.00°, β = 90.00°, γ = 90.00°
Fractional positions:
Pb (0.000, 0.000, 0.000)
Pb (0.500, 0.500, 0.000)
Ir (0.000, 0.500, 0.500)
As (0.500, 0.000, 0.500)

The calculation puts the volume at 22.538 A^3/atom. The total magnetic moment comes out at 0.00 μB/cell.

***

Model two:
A relaxed structure of AsIrPb2. Source: Alexandria via LeMat-Bulk, functional PBE.

a = 9.841 Å, b = 9.841 Å, c = 9.841 Å
α = 19.46°, β = 19.46°, γ = 19.46°
Fractional positions:
Pb (0.490, 0.490, 0.490)
Pb (0.010, 0.010, 0.010)
Ir (0.750, 0.750, 0.750)
As (0.250, 0.250, 0.250)

The calculation puts the volume at 23.125 A^3/atom. The total magnetic moment comes out at 0.00 μB/cell.

***

Pick model two: it beats the second-best structure by 40 meV per atom.

***

Model one:
A relaxed structure of AsIrPb2. Source: Alexandria via LeMat-Bulk, functional PBE.

a = 5.172 Å, b = 5.172 Å, c = 3.388 Å
α = 89.88°, β = 89.88°, γ = 100.96°
Fractional positions:
Pb (0.500, 0.500, 0.000)
Pb (0.000, 0.000, 0.000)
As (0.500, 0.000, 0.500)
Ir (0.000, 0.500, 0.500)

The calculation puts the volume at 22.245 A^3/atom. The total magnetic moment comes out at 0.00 μB/cell.

***

Model two:
A relaxed structure of AsIrPb2. Source: Alexandria via LeMat-Bulk, functional PBE.

a = 7.075 Å, b = 7.075 Å, c = 7.075 Å
α = 151.01°, β = 144.46°, γ = 46.50°
Fractional positions:
As (0.431, 0.431, 0.000)
Pb (0.730, 0.230, 0.500)
Pb (0.033, 0.033, 0.000)
Ir (0.305, 0.805, 0.500)

The calculation puts the volume at 24.862 A^3/atom. The total magnetic moment comes out at 0.00 μB/cell.

***

Model three:
A relaxed structure of AsIrPb2. Source: Alexandria via LeMat-Bulk, functional PBE.

a = 3.305 Å, b = 3.301 Å, c = 8.942 Å
α = 67.84°, β = 90.00°, γ = 90.00°
Fractional positions:
Pb (0.000, 0.474, 0.529)
Pb (0.000, 0.026, 0.971)
Ir (0.500, 0.750, 0.750)
As (0.500, 0.250, 0.250)

The calculation puts the volume at 22.590 A^3/atom. The total magnetic moment comes out at 0.00 μB/cell.

***

Pick model two: it beats the second-best structure by 209 meV per atom.

***

Model one:
A relaxed structure of AsIrPb2. Source: Alexandria via LeMat-Bulk, functional PBE.

a = 9.475 Å, b = 9.475 Å, c = 9.475 Å
α = 21.61°, β = 21.61°, γ = 21.61°
Fractional positions:
Ir (0.763, 0.763, 0.763)
Pb (0.244, 0.244, 0.244)
Pb (0.018, 0.018, 0.018)
As (0.474, 0.474, 0.474)

The calculation puts the volume at 25.276 A^3/atom. The total magnetic moment comes out at 0.00 μB/cell.

***

Model two:
A relaxed structure of AsIrPb2. Source: Alexandria via LeMat-Bulk, functional PBE.

a = 5.311 Å, b = 5.311 Å, c = 5.311 Å
α = 128.49°, β = 128.49°, γ = 75.83°
Fractional positions:
Pb (0.000, 0.000, 0.000)
Pb (0.500, 0.500, 0.000)
Ir (0.750, 0.250, 0.500)
As (0.250, 0.750, 0.500)

The calculation puts the volume at 22.312 A^3/atom. The total magnetic moment comes out at 0.00 μB/cell.

***

Pick model one: it beats the second-best structure by 453 meV per atom.

***

Model one:
A relaxed structure of AsIrPb2. Source: Alexandria via LeMat-Bulk, functional PBE.

a = 5.005 Å, b = 5.005 Å, c = 5.005 Å
α = 60.00°, β = 60.00°, γ = 60.00°
Fractional positions:
Ir (0.750, 0.750, 0.750)
As (0.500, 0.500, 0.500)
Pb (0.000, 0.000, 0.000)
Pb (0.250, 0.250, 0.250)

The calculation puts the volume at 22.161 A^3/atom. The total magnetic moment comes out at 0.00 μB/cell.

***

Model two:
A relaxed structure of AsIrPb2. Source: Alexandria via LeMat-Bulk, functional PBE.

a = 4.287 Å, b = 4.287 Å, c = 7.091 Å
α = 72.43°, β = 72.43°, γ = 59.94°
Fractional positions:
Pb (0.782, 0.782, 0.655)
Pb (0.969, 0.969, 0.094)
Ir (0.208, 0.208, 0.375)
As (0.541, 0.541, 0.375)

The calculation puts the volume at 26.436 A^3/atom. The total magnetic moment comes out at 0.00 μB/cell.

***

Pick model two: it beats the second-best structure by 539 meV per atom.